## La2AlSnH (PBE-GGA)

Data for a relaxed structure of La2AlSnH.

The calculation puts the density of states at the Fermi level at 6.464 states/eV/f.u. As for the total energy: -4.1837 eV per atom.

The space group is P4/mmm (No. 123) and the conventional cell measures 6.058, 6.058 and 3.709 Å, with angles of 90.00, 90.00 and 90.00 degrees. Symmetry generates all atoms from La at (0.000, 0.500, 0.000), Al at (0.000, 0.000, 0.000), Sn at (0.500, 0.500, 0.500) and H at (0.000, 0.000, 0.500).

---

## La2AlTlH (PBE-GGA)

Data for a relaxed structure of La2AlTlH.

The calculation puts the density of states at the Fermi level at 3.544 states/eV/f.u. As for the total energy: -4.1404 eV per atom.

The space group is P4/mmm (No. 123) and the conventional cell measures 4.932, 4.932 and 4.808 Å, with angles of 90.00, 90.00 and 90.00 degrees. Symmetry generates all atoms from La at (0.000, 0.500, 0.000), Al at (0.000, 0.000, 0.500), Tl at (0.500, 0.500, 0.500) and H at (0.500, 0.500, 0.000).

---

Q: What is the formula in the first record?
A: La2AlSnH

---

Repeat the first record exactly.
## La2AlSnH (PBE-GGA)

Data for a relaxed structure of La2AlSnH.

The calculation puts the density of states at the Fermi level at 6.464 states/eV/f.u. As for the total energy: -4.1837 eV per atom.

The space group is P4/mmm (No. 123) and the conventional cell measures 6.058, 6.058 and 3.709 Å, with angles of 90.00, 90.00 and 90.00 degrees. Symmetry generates all atoms from La at (0.000, 0.500, 0.000), Al at (0.000, 0.000, 0.000), Sn at (0.500, 0.500, 0.500) and H at (0.000, 0.000, 0.500).

---

What did the second record say?
## La2AlTlH (PBE-GGA)

Data for a relaxed structure of La2AlTlH.

The calculation puts the density of states at the Fermi level at 3.544 states/eV/f.u. As for the total energy: -4.1404 eV per atom.

The space group is P4/mmm (No. 123) and the conventional cell measures 4.932, 4.932 and 4.808 Å, with angles of 90.00, 90.00 and 90.00 degrees. Symmetry generates all atoms from La at (0.000, 0.500, 0.000), Al at (0.000, 0.000, 0.500), Tl at (0.500, 0.500, 0.500) and H at (0.500, 0.500, 0.000).